This record from Alexandria describes a relaxed K2HoAgBr6 crystal. The functional is PBE.

Electronic total energy = -3.49 eV/atom
Formation energy without anion corrections = -147.4 kJ per mole of atoms
Total magnetic moment = 0.000 μB/cell
Fermi-level density of states = 0.0 states/eV/cell
Mass density = 4.1 Mg/m³

Unit cell a=7.6487 b=8.0541 c=13.1780 alpha=90.00 beta=124.98 gamma=90.00
Fractional positions:
K  0.2231  0.0780  0.2488
K  0.2231  0.4220  0.7488
K  0.7769  0.5780  0.2512
K  0.7769  0.9220  0.7512
Ho  0.5000  0.0000  0.0000
Ho  0.5000  0.5000  0.5000
Ag  0.0000  0.0000  0.5000
Ag  0.0000  0.5000  0.0000
Br  0.1524  0.1896  0.9498
Br  0.1524  0.3104  0.4498
Br  0.2646  0.7076  0.9504
Br  0.2646  0.7924  0.4504
Br  0.3524  0.0235  0.7507
Br  0.3524  0.4765  0.2507
Br  0.6476  0.5235  0.7493
Br  0.6476  0.9765  0.2493
Br  0.7354  0.2076  0.5496
Br  0.7354  0.2924  0.0496
Br  0.8476  0.6896  0.5502
Br  0.8476  0.8104  0.0502


This record from Alexandria describes a relaxed LiLaSmPt crystal. The functional is PBE.

Electronic total energy = -4.93 eV/atom
Total magnetic moment = 0.000 μB/cell
Fermi-level density of states = 3.5 states/eV/cell
Mass density = 8.4 Mg/m³

Unit cell a=5.1687 b=5.1687 c=5.1687 alpha=60.00 beta=60.00 gamma=60.00
Fractional positions:
Li  0.0000  0.0000  0.0000
La  0.7500  0.7500  0.7500
Sm  0.2500  0.2500  0.2500
Pt  0.5000  0.5000  0.5000


This record from Alexandria describes a relaxed Tb3Si4Pd crystal. The functional is PBE.

Electronic total energy = -5.76 eV/atom
Formation energy without anion corrections = -63.5 kJ per mole of atoms
Total magnetic moment = 0.000 μB/cell
Fermi-level density of states = 4.0 states/eV/cell
Mass density = 6.5 Mg/m³

Unit cell a=8.1242 b=8.1242 c=8.1242 alpha=149.36 beta=139.06 gamma=51.99
Fractional positions:
Tb  0.0000  0.0000  0.0000
Tb  0.3069  0.8069  0.5000
Tb  0.6931  0.1931  0.5000
Si  0.0858  0.3791  0.7068
Si  0.3277  0.6209  0.7068
Si  0.6723  0.3791  0.2932
Si  0.9142  0.6209  0.2932
Pd  0.5000  0.5000  0.0000


This record from Alexandria describes a relaxed NdDyIrPt crystal. The functional is PBE.

Electronic total energy = -7.02 eV/atom
Excess energy over the best structure of this formula in the dataset = 0.0 meV per atom
Total magnetic moment = 0.000 μB/cell
Fermi-level density of states = 2.3 states/eV/cell
Mass density = 12.6 Mg/m³

Unit cell a=4.3267 b=5.7605 c=5.7605 alpha=39.70 beta=90.00 gamma=90.00
Fractional positions:
Nd  0.0000  0.0000  0.0000
Dy  0.5000  0.2844  0.2844
Ir  0.0000  0.7332  0.7332
Pt  0.5000  0.5625  0.5625


This record from Alexandria describes a relaxed CsAcBr4 crystal. The functional is PBE.

Electronic total energy = -3.91 eV/atom
Excess energy over the best structure of this formula in the dataset = 20.3 meV per atom
Formation energy without anion corrections = -189.4 kJ per mole of atoms
Total magnetic moment = 0.000 μB/cell
Fermi-level density of states = 0.0 states/eV/cell
Mass density = 4.6 Mg/m³

Unit cell a=5.3220 b=5.3220 c=8.6532 alpha=90.00 beta=90.00 gamma=90.00
Fractional positions:
Cs  0.0000  0.0000  0.0000
Ac  0.5000  0.5000  0.5000
Br  0.0000  0.5000  0.2924
Br  0.0000  0.5000  0.7076
Br  0.5000  0.0000  0.2924
Br  0.5000  0.0000  0.7076


This record from Alexandria describes a relaxed Pm2NiN crystal. The functional is PBE.

Electronic total energy = -6.25 eV/atom
Excess energy over the best structure of this formula in the dataset = 311.3 meV per atom
Formation energy without anion corrections = -33.7 kJ per mole of atoms
Total magnetic moment = 0.000 μB/cell
Fermi-level density of states = 2.1 states/eV/cell
Mass density = 8.6 Mg/m³

Unit cell a=3.2419 b=3.2419 c=6.6915 alpha=90.00 beta=90.00 gamma=90.00
Fractional positions:
Pm  0.0000  0.0000  0.2208
Pm  0.0000  0.0000  0.7792
Ni  0.5000  0.5000  0.5000
N  0.5000  0.5000  0.0000